No. 1
Material: KCuSe4
Method: DFT, PBE-GGA
State: relaxed

For the distance to the lowest polymorph of the same formula, the calculation gives 505 meV per atom. As for the size of the total moment: 0.000 μB/cell. For the uncorrected formation energy, the calculation gives 0.219 eV/atom.

The structure belongs to space group F-43m (No. 216); the cell edges are 8.278, 8.278 and 8.278 Å and the angles 90.00°, 90.00° and 90.00°. Symmetry generates all atoms from K at (0.000, 0.000, 0.000), Cu at (0.250, 0.250, 0.250) and Se at (0.124, 0.124, 0.624).

=====

No. 2
Material: KCuSe3
Method: DFT, PBE-GGA
State: relaxed

For the distance to the lowest polymorph of the same formula, the calculation gives 1712 meV per atom. As for the size of the total moment: 0.001 μB/cell. For the uncorrected formation energy, the calculation gives 1.260 eV/atom.

The structure belongs to space group Pm-3m (No. 221); the cell edges are 5.644, 5.644 and 5.644 Å and the angles 90.00°, 90.00° and 90.00°. Symmetry generates all atoms from K at (0.000, 0.000, 0.000), Cu at (0.500, 0.500, 0.500) and Se at (0.000, 0.000, 0.500).

=====

No. 3
Material: K4CuSe2
Method: DFT, PBE-GGA
State: relaxed

As for the size of the total moment: 1.221 μB/cell. For the uncorrected formation energy, the calculation gives -0.722 eV/atom.

The structure belongs to space group R-3m (No. 166, hexagonal axes); the cell edges are 5.6215, 5.6215 and 29.3873 Å and the angles 90.00°, 90.00° and 120.00°. Symmetry generates all atoms from K at (0.0000, 0.0000, 0.1158), K at (0.0000, 0.0000, 0.2933), Cu at (0.0000, 0.0000, 0.5000) and Se at (0.0000, 0.0000, 0.4219).

=====

No. 4
Material: KCu2Se2
Method: DFT, PBE-GGA
State: relaxed

As for the size of the total moment: 0.000 μB/cell. For the uncorrected formation energy, the calculation gives -0.540 eV/atom.

The structure belongs to space group I4/mmm (No. 139); the cell edges are 3.992, 3.992 and 13.804 Å and the angles 90.00°, 90.00° and 90.00°. Symmetry generates all atoms from K at (0.000, 0.000, 0.000), Cu at (0.000, 0.500, 0.250) and Se at (0.000, 0.000, 0.356).